1.
Here is a relaxed structure of YTlCuBr5 from the Alexandria database. Energies are from GGA-PBE.

Lattice parameters (Å, degrees): 7.7467 7.7467 10.5134 103.74 103.74 106.68
Last column: nearest neighbours and their distance in Å.
Fractional coordinates of all 16 atoms:
1 Cu 0.3087 0.6913 0.7500  4 Br 2.45-2.51
2 Cu 0.6913 0.3087 0.2500  4 Br 2.45-2.51
3 Br 0.6833 0.0891 0.3846  1 Cu 2.45
4 Br 0.9168 0.0832 0.7500  2 Y 2.82
5 Br 0.3167 0.9109 0.6154  1 Cu 2.45
6 Br 0.9109 0.3167 0.1154  1 Cu 2.45
7 Br 0.6179 0.7580 0.9308  1 Cu 2.51
8 Br 0.2420 0.3821 0.5692  1 Cu 2.51
9 Br 0.0832 0.9168 0.2500  2 Y 2.82
10 Br 0.3821 0.2420 0.0692  1 Cu 2.51
11 Br 0.7580 0.6179 0.4308  1 Cu 2.51
12 Br 0.0891 0.6833 0.8846  1 Cu 2.45
13 Y 0.0000 0.0000 0.0000  6 Br 2.82
14 Y 0.0000 0.0000 0.5000  6 Br 2.82
15 Tl 0.3579 0.6421 0.2500  5 Br 3.31-3.41
16 Tl 0.6421 0.3579 0.7500  5 Br 3.31-3.41

Properties
Uncorrected energy in eV for the cell shown: -61.8
ΔE_f (raw) in eV/atom: -1.20

2.
Here is a relaxed structure of CsBeHgF6 from the Alexandria database. Energies are from GGA-PBE.

Lattice parameters (Å, degrees): 5.6983 5.6982 6.4118 91.72 88.27 56.50
Last column: nearest neighbours and their distance in Å.
Fractional coordinates of all 9 atoms:
1 F 0.4827 0.1188 0.3547  1 Be 1.57
2 F 0.8843 0.5051 0.2142  1 Hg 2.04
3 F 0.3233 0.6408 0.3663  1 Be 1.57
4 F 0.1187 0.4826 0.6453  1 Be 1.57
5 F 0.6406 0.3234 0.6338  1 Be 1.57
6 F 0.5050 0.8843 0.7857  1 Hg 2.04
7 Hg 0.6871 0.6872 0.5000  2 F 2.04
8 Be 0.3878 0.3878 0.5000  4 F 1.57
9 Cs 0.9702 0.9701 0.0000  8 F 3.08-3.28

Properties
Uncorrected energy in eV for the cell shown: -36.2
ΔE_f (raw) in eV/atom: -2.24